Entry 1:
{
  "formula": "Ga2SnPb2Au7",
  "functional": "PBE",
  "state": "relaxed",
  "n_ef_per_ev_cell": 4.55,
  "ef_mev_per_atom": -82,
  "final_energy_ev_per_atom": -3.450,
  "magmom_total_mub_per_fu": 0.00,
  "lattice": [[3.665, -2.827, 0.000], [3.665, 2.827, 0.000], [-1.599, 0.000, 12.675]],
  "species": ["Ga", "Ga", "Sn", "Pb", "Pb", "Au", "Au", "Au", "Au", "Au", "Au", "Au"],
  "frac_coords": [[0.046, 0.046, 0.261], [0.954, 0.954, 0.739], [0.500, 0.500, 0.000], [0.479, 0.479, 0.638], [0.521, 0.521, 0.362], [0.000, 0.000, 0.000], [0.024, 0.524, 0.156], [0.172, 0.172, 0.461], [0.476, 0.976, 0.844], [0.524, 0.024, 0.156], [0.828, 0.828, 0.539], [0.976, 0.476, 0.844]]
}


Entry 2:
{
  "formula": "SrGaPbAu",
  "functional": "PBE",
  "state": "relaxed",
  "n_ef_per_ev_cell": 7.80,
  "ef_mev_per_atom": -364,
  "final_energy_ev_per_atom": -3.288,
  "magmom_total_mub_per_fu": 0.00,
  "lattice": [[7.448, 0.000, 0.000], [0.000, 7.448, 0.000], [0.000, 0.000, 7.448]],
  "species": ["Sr", "Sr", "Sr", "Sr", "Ga", "Ga", "Ga", "Ga", "Pb", "Pb", "Pb", "Pb", "Au", "Au", "Au", "Au"],
  "frac_coords": [[0.000, 0.000, 0.000], [0.000, 0.500, 0.500], [0.500, 0.000, 0.500], [0.500, 0.500, 0.000], [0.250, 0.250, 0.750], [0.250, 0.750, 0.250], [0.750, 0.250, 0.250], [0.750, 0.750, 0.750], [0.000, 0.000, 0.500], [0.000, 0.500, 0.000], [0.500, 0.000, 0.000], [0.500, 0.500, 0.500], [0.250, 0.250, 0.250], [0.250, 0.750, 0.750], [0.750, 0.250, 0.750], [0.750, 0.750, 0.250]]
}


Entry 3:
{
  "formula": "SrGa2PbAu5",
  "functional": "PBE",
  "state": "relaxed",
  "n_ef_per_ev_cell": 3.79,
  "ef_mev_per_atom": -298,
  "final_energy_ev_per_atom": -3.391,
  "magmom_total_mub_per_fu": 0.00,
  "lattice": [[5.023, 0.000, 0.000], [0.000, 5.023, 0.000], [0.000, 0.000, 7.942]],
  "species": ["Sr", "Ga", "Ga", "Pb", "Au", "Au", "Au", "Au", "Au"],
  "frac_coords": [[0.000, 0.000, 0.000], [0.500, 0.500, 0.341], [0.500, 0.500, 0.659], [0.000, 0.000, 0.500], [0.000, 0.500, 0.250], [0.000, 0.500, 0.750], [0.500, 0.000, 0.250], [0.500, 0.000, 0.750], [0.500, 0.500, 0.000]]
}


Entry 4:
{
  "formula": "ThGaPbAu",
  "functional": "PBE",
  "state": "relaxed",
  "n_ef_per_ev_cell": 7.56,
  "ef_mev_per_atom": -325,
  "final_energy_ev_per_atom": -4.683,
  "magmom_total_mub_per_fu": 0.00,
  "lattice": [[7.308, 0.000, 0.000], [0.000, 7.308, 0.000], [0.000, 0.000, 7.308]],
  "species": ["Th", "Th", "Th", "Th", "Ga", "Ga", "Ga", "Ga", "Pb", "Pb", "Pb", "Pb", "Au", "Au", "Au", "Au"],
  "frac_coords": [[0.000, 0.000, 0.000], [0.000, 0.500, 0.500], [0.500, 0.000, 0.500], [0.500, 0.500, 0.000], [0.250, 0.250, 0.750], [0.250, 0.750, 0.250], [0.750, 0.250, 0.250], [0.750, 0.750, 0.750], [0.000, 0.000, 0.500], [0.000, 0.500, 0.000], [0.500, 0.000, 0.000], [0.500, 0.500, 0.500], [0.250, 0.250, 0.250], [0.250, 0.750, 0.750], [0.750, 0.250, 0.750], [0.750, 0.750, 0.250]]
}


Entry 5:
{
  "formula": "TlGaPbAu2",
  "functional": "PBE",
  "state": "relaxed",
  "n_ef_per_ev_cell": 1.56,
  "ef_mev_per_atom": 145,
  "final_energy_ev_per_atom": -2.986,
  "magmom_total_mub_per_fu": 0.00,
  "lattice": [[4.965, 0.000, 0.000], [0.000, 4.965, 0.000], [0.000, 0.000, 5.556]],
  "species": ["Tl", "Ga", "Pb", "Au", "Au"],
  "frac_coords": [[0.000, 0.000, 0.000], [0.500, 0.500, 0.500], [0.500, 0.500, 0.000], [0.000, 0.500, 0.500], [0.500, 0.000, 0.500]]
}


Entry 6:
{
  "formula": "TlGaPbAu",
  "functional": "PBE",
  "state": "relaxed",
  "n_ef_per_ev_cell": 4.00,
  "ef_mev_per_atom": -75,
  "final_energy_ev_per_atom": -3.170,
  "magmom_total_mub_per_fu": 0.00,
  "lattice": [[4.388, 0.000, 0.000], [-2.194, 3.800, 0.000], [0.000, 0.000, 19.884]],
  "species": ["Tl", "Tl", "Tl", "Ga", "Ga", "Ga", "Pb", "Pb", "Pb", "Au", "Au", "Au"],
  "frac_coords": [[0.000, 0.000, 0.000], [0.333, 0.667, 0.667], [0.667, 0.333, 0.333], [0.000, 0.000, 0.573], [0.333, 0.667, 0.239], [0.667, 0.333, 0.906], [0.000, 0.000, 0.798], [0.333, 0.667, 0.464], [0.667, 0.333, 0.131], [0.000, 0.000, 0.213], [0.333, 0.667, 0.879], [0.667, 0.333, 0.546]]
}


Entry 7:
{
  "formula": "Tl2GaPbAu2",
  "functional": "PBE",
  "state": "relaxed",
  "n_ef_per_ev_cell": 3.13,
  "ef_mev_per_atom": -95,
  "final_energy_ev_per_atom": -3.099,
  "magmom_total_mub_per_fu": 0.00,
  "lattice": [[4.507, 0.000, 0.000], [0.000, 8.593, 0.000], [0.000, 0.000, 7.754]],
  "species": ["Tl", "Tl", "Tl", "Tl", "Ga", "Ga", "Pb", "Pb", "Au", "Au", "Au", "Au"],
  "frac_coords": [[0.000, 0.094, 0.000], [0.000, 0.906, 0.500], [0.500, 0.160, 0.326], [0.500, 0.840, 0.826], [0.000, 0.316, 0.623], [0.000, 0.684, 0.123], [0.500, 0.436, 0.987], [0.500, 0.564, 0.487], [0.000, 0.401, 0.282], [0.000, 0.599, 0.782], [0.500, 0.185, 0.718], [0.500, 0.815, 0.218]]
}


Entry 8:
{
  "formula": "TlGaPbAu",
  "functional": "PBE",
  "state": "relaxed",
  "n_ef_per_ev_cell": 14.18,
  "ef_mev_per_atom": 83,
  "final_energy_ev_per_atom": -3.012,
  "magmom_total_mub_per_fu": 0.00,
  "lattice": [[7.346, 0.000, 0.000], [0.000, 7.346, 0.000], [0.000, 0.000, 7.346]],
  "species": ["Tl", "Tl", "Tl", "Tl", "Ga", "Ga", "Ga", "Ga", "Pb", "Pb", "Pb", "Pb", "Au", "Au", "Au", "Au"],
  "frac_coords": [[0.000, 0.000, 0.000], [0.000, 0.500, 0.500], [0.500, 0.000, 0.500], [0.500, 0.500, 0.000], [0.250, 0.250, 0.250], [0.250, 0.750, 0.750], [0.750, 0.250, 0.750], [0.750, 0.750, 0.250], [0.000, 0.000, 0.500], [0.000, 0.500, 0.000], [0.500, 0.000, 0.000], [0.500, 0.500, 0.500], [0.250, 0.250, 0.750], [0.250, 0.750, 0.250], [0.750, 0.250, 0.250], [0.750, 0.750, 0.750]]
}


Entry 9:
{
  "formula": "TlGaPbAu2",
  "functional": "PBE",
  "state": "relaxed",
  "n_ef_per_ev_cell": 3.88,
  "ef_mev_per_atom": -75,
  "final_energy_ev_per_atom": -3.206,
  "magmom_total_mub_per_fu": 0.00,
  "lattice": [[7.623, -2.237, 0.000], [7.623, 2.237, 0.000], [-4.308, 0.000, 7.510]],
  "species": ["Tl", "Tl", "Ga", "Ga", "Pb", "Pb", "Au", "Au", "Au", "Au"],
  "frac_coords": [[0.250, 0.250, 0.177], [0.750, 0.750, 0.823], [0.446, 0.446, 0.109], [0.554, 0.554, 0.891], [0.124, 0.124, 0.455], [0.876, 0.876, 0.545], [0.099, 0.099, 0.784], [0.357, 0.357, 0.751], [0.643, 0.643, 0.249], [0.901, 0.901, 0.216]]
}


Entry 10:
{
  "formula": "TlGaPbAu3",
  "functional": "PBE",
  "state": "relaxed",
  "n_ef_per_ev_cell": 4.52,
  "ef_mev_per_atom": -75,
  "final_energy_ev_per_atom": -3.231,
  "magmom_total_mub_per_fu": 0.00,
  "lattice": [[3.557, -7.529, 0.000], [3.557, 7.529, 0.000], [-2.493, 0.000, 5.225]],
  "species": ["Tl", "Tl", "Ga", "Ga", "Pb", "Pb", "Au", "Au", "Au", "Au", "Au", "Au"],
  "frac_coords": [[0.232, 0.768, 0.750], [0.768, 0.232, 0.250], [0.013, 0.987, 0.250], [0.987, 0.013, 0.750], [0.393, 0.607, 0.250], [0.607, 0.393, 0.750], [0.193, 0.807, 0.250], [0.202, 0.361, 0.616], [0.361, 0.202, 0.116], [0.639, 0.798, 0.884], [0.798, 0.639, 0.384], [0.807, 0.193, 0.750]]
}


Entry 11:
{
  "formula": "VGa2PbAu",
  "functional": "PBE",
  "state": "relaxed",
  "n_ef_per_ev_cell": 3.65,
  "ef_mev_per_atom": 598,
  "final_energy_ev_per_atom": -3.834,
  "magmom_total_mub_per_fu": 3.66,
  "lattice": [[5.072, 0.000, 0.000], [0.000, 5.072, 0.000], [0.000, 0.000, 5.624]],
  "species": ["V", "Ga", "Ga", "Pb", "Au"],
  "frac_coords": [[0.000, 0.000, 0.000], [0.000, 0.500, 0.000], [0.500, 0.000, 0.000], [0.000, 0.000, 0.500], [0.500, 0.500, 0.500]]
}


Entry 12:
{
  "formula": "YGaPbAu",
  "functional": "PBE",
  "state": "relaxed",
  "n_ef_per_ev_cell": 8.77,
  "ef_mev_per_atom": -365,
  "final_energy_ev_per_atom": -4.484,
  "magmom_total_mub_per_fu": 0.00,
  "lattice": [[7.225, 0.000, 0.000], [0.000, 7.225, 0.000], [0.000, 0.000, 7.225]],
  "species": ["Y", "Y", "Y", "Y", "Ga", "Ga", "Ga", "Ga", "Pb", "Pb", "Pb", "Pb", "Au", "Au", "Au", "Au"],
  "frac_coords": [[0.000, 0.000, 0.000], [0.000, 0.500, 0.500], [0.500, 0.000, 0.500], [0.500, 0.500, 0.000], [0.250, 0.250, 0.250], [0.250, 0.750, 0.750], [0.750, 0.250, 0.750], [0.750, 0.750, 0.250], [0.000, 0.000, 0.500], [0.000, 0.500, 0.000], [0.500, 0.000, 0.000], [0.500, 0.500, 0.500], [0.250, 0.250, 0.750], [0.250, 0.750, 0.250], [0.750, 0.250, 0.250], [0.750, 0.750, 0.750]]
}


What did the fifth record say?
{
  "formula": "TlGaPbAu2",
  "functional": "PBE",
  "state": "relaxed",
  "n_ef_per_ev_cell": 1.56,
  "ef_mev_per_atom": 145,
  "final_energy_ev_per_atom": -2.986,
  "magmom_total_mub_per_fu": 0.00,
  "lattice": [[4.965, 0.000, 0.000], [0.000, 4.965, 0.000], [0.000, 0.000, 5.556]],
  "species": ["Tl", "Ga", "Pb", "Au", "Au"],
  "frac_coords": [[0.000, 0.000, 0.000], [0.500, 0.500, 0.500], [0.500, 0.500, 0.000], [0.000, 0.500, 0.500], [0.500, 0.000, 0.500]]
}